Record 1
VASP calculation (PBE) on a relaxed structure of LaBr2O.

Properties
- relative energy among the computed polymorphs (meV/atom) = 12
- space-group type = Fm-3m, No. 225

a b c (Å): 5.0614 5.0614 5.0614
angles (deg): 60.00 60.00 60.00
Positions (direct):
1 O 0.0000 0.0000 0.0000
2 Br 0.7500 0.7500 0.7500
3 Br 0.2500 0.2500 0.2500
4 La 0.5000 0.5000 0.5000

Record 2
VASP calculation (PBE) on a relaxed structure of LaBrO2.

Properties
- relative energy among the computed polymorphs (meV/atom) = 150
- space-group type = P1, No. 1

a b c (Å): 4.2756 5.2302 7.2720
angles (deg): 83.89 78.32 83.76
Positions (direct):
1 Br 0.7218 0.2982 0.2069
2 Br 0.1910 0.9228 0.5016
3 O 0.0207 0.6912 0.3730
4 O 0.3118 0.2722 0.6435
5 O 0.1775 0.2988 0.8488
6 O 0.6308 0.7729 0.8953
7 La 0.0834 0.8081 0.0341
8 La 0.7646 0.4741 0.6681

Record 3
VASP calculation (PBE) on a relaxed structure of LaBrO2.

Properties
- relative energy among the computed polymorphs (meV/atom) = 340
- space-group type = C2/c, No. 15

a b c (Å): 7.3267 4.9178 4.9178
angles (deg): 89.38 114.78 65.22
Positions (direct):
1 O 0.8324 0.8564 0.9519
2 O 0.1676 0.1436 0.0481
3 O 0.6676 0.4519 0.3564
4 O 0.3324 0.5481 0.6436
5 Br 0.2500 0.0982 0.5982
6 Br 0.7500 0.9018 0.4018
7 La 0.2500 0.5923 0.0923
8 La 0.7500 0.4077 0.9077

Record 4
VASP calculation (PBE) on a relaxed structure of LaBrO2.

Properties
- relative energy among the computed polymorphs (meV/atom) = 447
- space-group type = C2/m, No. 12

a b c (Å): 7.1239 3.9979 3.9979
angles (deg): 122.03 119.84 60.16
Positions (direct):
1 La 0.5000 0.5000 0.5000
2 Br 0.0000 0.0000 0.0000
3 O 0.6524 0.7425 0.2575
4 O 0.3476 0.2575 0.7425

Record 5
VASP calculation (PBE) on a relaxed structure of LaBrO2.

Properties
- relative energy among the computed polymorphs (meV/atom) = 674
- space-group type = I4/mcm, No. 140

a b c (Å): 6.5089 6.5089 5.8814
angles (deg): 56.40 56.40 90.00
Positions (direct):
1 O 0.8354 0.3354 0.0000
2 O 0.1646 0.6646 0.0000
3 O 0.3354 0.1646 0.0000
4 O 0.6646 0.8354 0.0000
5 La 0.2500 0.7500 0.5000
6 La 0.7500 0.2500 0.5000
7 Br 0.2500 0.2500 0.5000
8 Br 0.7500 0.7500 0.5000

Record 6
VASP calculation (PBE) on a relaxed structure of LaBrO2.

Properties
- relative energy among the computed polymorphs (meV/atom) = 796
- space-group type = P4/mmm, No. 123

a b c (Å): 6.0132 6.0132 5.4655
angles (deg): 56.63 56.63 90.00
Positions (direct):
1 Br 0.7500 0.2500 0.5000
2 Br 0.2500 0.7500 0.5000
3 La 0.7500 0.7500 0.5000
4 La 0.2500 0.2500 0.5000
5 O 0.2501 0.2499 0.0000
6 O 0.7501 0.2501 0.0000
7 O 0.2499 0.7499 0.0000
8 O 0.7499 0.7501 0.0000

Number 1: ΔE_f (raw) -1186 meV/atom, VASP energy -18.0 eV/f.u.. Number 2: ΔE_f (raw) -2005 meV/atom, VASP energy -24.5 eV/f.u.. Number 3: ΔE_f (raw) -1815 meV/atom, VASP energy -23.8 eV/f.u.. Number 4: ΔE_f (raw) -1708 meV/atom, VASP energy -23.3 eV/f.u.. Number 5: ΔE_f (raw) -1481 meV/atom, VASP energy -22.4 eV/f.u.. Number 6: ΔE_f (raw) -1359 meV/atom, VASP energy -22.0 eV/f.u..